DFT (GGA+U) results for MgFeN2O after structural relaxation.

Cell: 3.744 3.744 3.900 Å, 90.00 90.00 90.00°
Site moments in Bohr magnetons follow the coordinates.
Fractional positions:
N  0.500  0.000  0.000  -0.33
N  0.000  0.500  0.000  -0.33
Fe  0.000  0.000  0.000  3.55
Mg  0.500  0.500  0.500  0.02
O  0.000  0.000  0.500  -0.18

Calculated values
Fermi-level density of states: 3.26 states/eV/f.u.
magnetization: 2.6 μB per formula unit
calculated total energy: -5.45 eV/atom